(1)
Ag3Pt2Au after structural relaxation, computed with GGA-PBE.

Lattice parameters (Å, degrees): 5.6957 5.6957 7.2284 90.00 90.00 120.00
With the nearest neighbours (Å) after each atom.
Space group P-3m1 (No. 164)
Symmetry-distinct sites (fractional):
Ag1 0.1670 0.3339 0.1676 [6 per cell]  6 Ag 2.84-2.93, 3 Au 2.85-2.95, 3 Pt 2.91
Pt1 0.0000 0.0000 0.5000 [1 per cell]  6 Pt 2.85, 6 Ag 2.91
Pt2 0.0000 0.5000 0.5000 [3 per cell]  6 Pt 2.85, 2 Au 2.89, 4 Ag 2.91
Au1 0.3333 0.6667 0.8292 [2 per cell]  9 Ag 2.85-2.95, 3 Pt 2.89

Output
- Energy relative to the elements: -0.02 eV per atom

***

(2)
BeWS2N after structural relaxation, computed with GGA-PBE.

Lattice parameters (Å, degrees): 4.7893 4.7893 3.7893 90.00 90.00 90.00
With the nearest neighbours (Å) after each atom.
Space group P4/mmm (No. 123)
Symmetry-distinct sites (fractional):
Be1 0.0000 0.0000 0.0000 [1 per cell]  8 S 3.05, 4 N 3.39
W1 0.5000 0.5000 0.5000 [1 per cell]  2 N 1.89
S1 0.0000 0.5000 0.5000 [2 per cell]  2 W 2.39
N1 0.5000 0.5000 0.0000 [1 per cell]  2 W 1.89

Output
- Energy relative to the elements, uncorrected: 2.53 eV per formula unit

***

(3)
Cu2SiBr after structural relaxation, computed with GGA-PBE.

Lattice parameters (Å, degrees): 13.7126 3.2499 3.1966 90.00 90.07 90.00
With the nearest neighbours (Å) after each atom.
Space group Cm (No. 8)
Symmetry-distinct sites (fractional):
Cu1 0.0000 0.0000 0.0000 [2 per cell]  4 Si 2.48, 4 Cu 2.68
Cu2 0.1028 0.5000 0.5004 [2 per cell]  1 Si 2.38, 2 Br 2.57
Si1 0.4290 0.0000 0.4998 [2 per cell]  5 Cu 2.38-2.48, 1 Br 2.48
Br1 0.2482 0.0000 0.4969 [2 per cell]  1 Si 2.48, 2 Cu 2.57

Output
- Energy relative to the elements, uncorrected: 0.84 eV per formula unit

***

| no. | DOS(E_F) (states/eV per cell) | magnetic moment (μB per formula unit) | calculated total energy (eV per atom) |
| --- | --- | --- | --- |
| 1 | 7.023 | 0.00 | -4.0095 |
| 2 | 2.695 | 0.00 | -6.1465 |
| 3 | 2.417 | 0.00 | -3.6112 |